KTi2AgHg | PBE-GGA | relaxed

Density ... 6.28 g/cm³
V ... 117 Å³ per cell
Crystal system ... tetragonal
E_form ... 896.0 kJ/mol of formula units
D(E_F) ... 0.9035 states/eV per atom

Cell: 4.662 4.662 5.393 Å, 90.00 90.00 90.00°
Fractional coordinates of all 5 atoms:
K: 0.000 0.000 0.000
Ti: 0.000 0.500 0.000
Ti: 0.500 0.000 0.000
Ag: 0.500 0.500 0.500
Hg: 0.000 0.000 0.500